1.
# SrAgPdF6 | Alexandria | PBE | optimized geometry
data_SrAgPdF6
_cell_length_a 6.0431
_cell_length_b 6.0431
_cell_length_c 9.1483
_cell_angle_alpha 90.00
_cell_angle_beta 90.00
_cell_angle_gamma 120.00
_symmetry_space_group_name_H-M 'P -3 1 c'
_symmetry_Int_Tables_number 163
_symmetry_space_group_name_Hall '-P 3 2c'
loop_
_atom_site_label
_atom_site_type_symbol
_atom_site_fract_x
_atom_site_fract_y
_atom_site_fract_z
Sr1 Sr 0.3333 0.6667 0.2500
Ag1 Ag 0.0000 0.0000 0.0000
Pd1 Pd 0.3333 0.6667 0.7500
F1 F 0.0461 0.3691 0.6274
# * formation energy from raw total energies: -2.06 eV per atom
# * Fermi-level density of states: 7.016 states/eV per cell

***

2.
# SrAgPd2F8 | Alexandria | PBE | optimized geometry
data_SrAgPd2F8
_cell_length_a 5.568
_cell_length_b 5.568
_cell_length_c 10.925
_cell_angle_alpha 90.00
_cell_angle_beta 90.00
_cell_angle_gamma 90.00
_symmetry_space_group_name_H-M 'I -4 m 2'
_symmetry_Int_Tables_number 119
_symmetry_space_group_name_Hall 'I -4 -2'
loop_
_atom_site_label
_atom_site_type_symbol
_atom_site_fract_x
_atom_site_fract_y
_atom_site_fract_z
Sr1 Sr 0.000 0.000 0.000
Ag1 Ag 0.000 0.500 0.750
Pd1 Pd 0.000 0.000 0.500
Pd2 Pd 0.000 0.500 0.250
F1 F 0.227 0.246 0.374
# * formation energy from raw total energies: -1.72 eV per atom
# * Fermi-level density of states: 9.837 states/eV per cell

***

3.
# SrAg2PdF6 | Alexandria | PBE | optimized geometry
data_SrAg2PdF6
_cell_length_a 4.438
_cell_length_b 6.262
_cell_length_c 12.017
_cell_angle_alpha 90.00
_cell_angle_beta 102.27
_cell_angle_gamma 90.00
_symmetry_space_group_name_H-M 'P 1 21/c 1'
_symmetry_Int_Tables_number 14
loop_
_symmetry_equiv_pos_as_xyz
'x,y,z'
'-x,-y,-z'
'-x,y+1/2,-z+1/2'
'x,-y+1/2,z+1/2'
loop_
_atom_site_label
_atom_site_type_symbol
_atom_site_fract_x
_atom_site_fract_y
_atom_site_fract_z
Sr1 Sr 0.000 0.000 0.000
Ag1 Ag 0.305 0.079 0.727
Pd1 Pd 0.500 0.000 0.500
F1 F 0.104 0.637 0.925
F2 F 0.198 0.018 0.203
F3 F 0.408 0.203 0.937
# * formation energy from raw total energies: -1.90 eV per atom

***

4.
# TlAgPdF6 | Alexandria | PBE | optimized geometry
data_TlAgPdF6
_cell_length_a 5.471
_cell_length_b 5.471
_cell_length_c 10.719
_cell_angle_alpha 90.00
_cell_angle_beta 90.00
_cell_angle_gamma 90.00
_symmetry_space_group_name_H-M 'P 42 n m'
_symmetry_Int_Tables_number 102
loop_
_symmetry_equiv_pos_as_xyz
'x,y,z'
'-y+1/2,x+1/2,z+1/2'
'-x,-y,z'
'y+1/2,-x+1/2,z+1/2'
'-x+1/2,y+1/2,z+1/2'
'y,x,z'
'x+1/2,-y+1/2,z+1/2'
'-y,-x,z'
loop_
_atom_site_label
_atom_site_type_symbol
_atom_site_fract_x
_atom_site_fract_y
_atom_site_fract_z
Tl1 Tl 0.000 0.000 0.000
Ag1 Ag 0.000 0.000 0.684
Pd1 Pd 0.000 0.000 0.341
F1 F 0.167 0.167 0.481
F2 F 0.184 0.184 0.212
F3 F 0.243 0.243 0.835
# * formation energy from raw total energies: -1.42 eV per atom

***

| no. | total magnetic moment (Bohr magnetons per cell) |
| --- | --- |
| 1 | 2.0 |
| 2 | 10.0 |
| 3 | 0.0 |
| 4 | 0.0 |